Record 1
Here is a geometry-optimized TaMnTe4 structure from the Alexandria database. Energies are from GGA-PBE.

Output
Total moment = 2.16 μB/f.u.
Mass density = 7.5 Mg/m³
VASP energy = -26.2 eV/f.u.
SG = F-43m (216)
V = 165.37 Å³ per cell
Crystal system = cubic

a b c (Å): 6.1610 6.1610 6.1610
angles (deg): 60.00 60.00 60.00
With the nearest neighbours (Å) after each atom.
Fractional coordinates of all 6 atoms:
Ta: 0.0000 0.0000 0.0000  12 Te 3.61, 4 Mn 3.77
Mn: 0.7500 0.7500 0.7500  12 Te 3.61, 4 Ta 3.77
Te: 0.8754 0.3749 0.3749  6 Te 3.08
Te: 0.3749 0.3749 0.8754  6 Te 3.08
Te: 0.3749 0.8754 0.3749  6 Te 3.08
Te: 0.3749 0.3749 0.3749  6 Te 3.08

---

Record 2
Here is a geometry-optimized NdSnAu2 structure from the Alexandria database. Energies are from GGA-PBE.

Output
Total moment = 0.00 μB/f.u.
Energy of formation from the pure elements = -2.74 eV per formula unit
Mass density = 11.8 Mg/m³
VASP energy = -18.1 eV/f.u.
SG = Fm-3m (225)
V = 92.39 Å³ per cell
Crystal system = cubic

a b c (Å): 5.0743 5.0743 5.0743
angles (deg): 60.00 60.00 60.00
With the nearest neighbours (Å) after each atom.
Fractional coordinates of all 4 atoms:
Nd: 0.5000 0.5000 0.5000  8 Au 3.11
Au: 0.7500 0.7500 0.7500  4 Sn 3.11, 4 Nd 3.11
Au: 0.2500 0.2500 0.2500  4 Sn 3.11, 4 Nd 3.11
Sn: 0.0000 0.0000 0.0000  8 Au 3.11

---

Record 3
Here is a geometry-optimized ZrPdS2 structure from the Alexandria database. Energies are from GGA-PBE.

Output
Total moment = 0.00 μB/f.u.
Mass density = 5.6 Mg/m³
VASP energy = -26.2 eV/f.u.
SG = P2_1/c (14)
V = 311.98 Å³ per cell
Crystal system = monoclinic
ΔE to the lowest computed polymorph = 0.000 eV/atom

a b c (Å): 6.9534 7.4301 6.8474
angles (deg): 90.00 61.87 90.00
With the nearest neighbours (Å) after each atom.
Fractional coordinates of all 16 atoms:
Zr: 0.7478 0.9174 0.9809  5 S 2.53-2.68
Zr: 0.7478 0.5826 0.4809  5 S 2.53-2.68
Zr: 0.2522 0.0826 0.0191  5 S 2.53-2.68
Zr: 0.2522 0.4174 0.5191  5 S 2.53-2.68
Pd: 0.7317 0.3024 0.1772  4 S 2.39-2.64
Pd: 0.2683 0.8024 0.3228  4 S 2.39-2.64
Pd: 0.2683 0.6976 0.8228  4 S 2.39-2.64
Pd: 0.7317 0.1976 0.6772  4 S 2.39-2.64
S: 0.5719 0.5938 0.2207  2 Pd 2.39-2.44, 2 Zr 2.56-2.59
S: 0.9828 0.8264 0.1722  2 Pd 2.47-2.64, 3 Zr 2.53-2.68
S: 0.4281 0.0938 0.2793  2 Pd 2.39-2.44, 2 Zr 2.56-2.59
S: 0.4281 0.4062 0.7793  2 Pd 2.39-2.44, 2 Zr 2.56-2.59
S: 0.0172 0.1736 0.8278  2 Pd 2.47-2.64, 3 Zr 2.53-2.68
S: 0.0172 0.3264 0.3278  2 Pd 2.47-2.64, 3 Zr 2.53-2.68
S: 0.9828 0.6736 0.6722  2 Pd 2.47-2.64, 3 Zr 2.53-2.68
S: 0.5719 0.9062 0.7207  2 Pd 2.39-2.44, 2 Zr 2.56-2.59

---

Record 4
Here is a geometry-optimized PmDyPt structure from the Alexandria database. Energies are from GGA-PBE.

Output
Total moment = 0.00 μB/f.u.
Energy of formation from the pure elements = -2.40 eV per formula unit
Mass density = 9.8 Mg/m³
VASP energy = -17.8 eV/f.u.
SG = F-43m (216)
V = 84.76 Å³ per cell
Crystal system = cubic
ΔE to the lowest computed polymorph = 0.084 eV/atom

a b c (Å): 4.9306 4.9306 4.9306
angles (deg): 60.00 60.00 60.00
With the nearest neighbours (Å) after each atom.
Fractional coordinates of all 3 atoms:
Pm: 0.0000 0.0000 0.0000  4 Pt 3.02
Pt: 0.2500 0.2500 0.2500  4 Dy 3.02, 4 Pm 3.02
Dy: 0.5000 0.5000 0.5000  4 Pt 3.02

---

Record 5
Here is a geometry-optimized TePPt2 structure from the Alexandria database. Energies are from GGA-PBE.

Output
Total moment = 0.00 μB/f.u.
Mass density = 12.6 Mg/m³
VASP energy = -20.1 eV/f.u.
SG = Imm2 (44)
V = 72.15 Å³ per cell
Crystal system = orthorhombic
ΔE to the lowest computed polymorph = 0.449 eV/atom

a b c (Å): 5.1708 5.1708 5.1708
angles (deg): 140.14 123.91 71.00
With the nearest neighbours (Å) after each atom.
Fractional coordinates of all 4 atoms:
Te: 0.5001 0.5001 0.0000  6 Pt 2.78-3.01, 4 P 2.96-3.05
P: 0.7821 0.2821 0.5000  2 Pt 2.38
Pt: 0.9729 0.9729 0.0000  2 P 2.38
Pt: 0.2449 0.7449 0.5000  2 Te 2.78, 4 Pt 2.89-3.10, 4 P 3.02

---

Record 6
Here is a geometry-optimized SmEr3Sc3 structure from the Alexandria database. Energies are from GGA-PBE.

Output
Total moment = 0.01 μB/f.u.
Energy of formation from the pure elements = 0.19 eV per formula unit
Mass density = 6.6 Mg/m³
VASP energy = -37.2 eV/f.u.
SG = P6_3/m (176)
V = 398.80 Å³ per cell
Crystal system = hexagonal

a b c (Å): 5.4337 9.2058 9.2058
angles (deg): 120.00 90.00 90.00
With the nearest neighbours (Å) after each atom.
Fractional coordinates of all 14 atoms:
Sm: 0.2500 0.6667 0.3333  9 Sc 3.37-3.48, 3 Er 3.45
Sm: 0.7500 0.3333 0.6667  9 Sc 3.37-3.48, 3 Er 3.45
Er: 0.2500 0.8059 0.7575  5 Sc 3.38-3.52, 6 Er 3.40-3.54, 1 Sm 3.45
Er: 0.2500 0.2425 0.0484  5 Sc 3.38-3.52, 6 Er 3.40-3.54, 1 Sm 3.45
Er: 0.2500 0.9516 0.1941  5 Sc 3.38-3.52, 6 Er 3.40-3.54, 1 Sm 3.45
Er: 0.7500 0.1941 0.2425  5 Sc 3.38-3.52, 6 Er 3.40-3.54, 1 Sm 3.45
Er: 0.7500 0.7575 0.9516  5 Sc 3.38-3.52, 6 Er 3.40-3.54, 1 Sm 3.45
Er: 0.7500 0.0484 0.8059  5 Sc 3.38-3.52, 6 Er 3.40-3.54, 1 Sm 3.45
Sc: 0.7500 0.6154 0.5189  4 Sc 3.36-3.44, 3 Sm 3.37-3.48, 5 Er 3.38-3.52
Sc: 0.7500 0.4811 0.0965  4 Sc 3.36-3.44, 3 Sm 3.37-3.48, 5 Er 3.38-3.52
Sc: 0.7500 0.9035 0.3846  4 Sc 3.36-3.44, 3 Sm 3.37-3.48, 5 Er 3.38-3.52
Sc: 0.2500 0.3846 0.4811  4 Sc 3.36-3.44, 3 Sm 3.37-3.48, 5 Er 3.38-3.52
Sc: 0.2500 0.5189 0.9035  4 Sc 3.36-3.44, 3 Sm 3.37-3.48, 5 Er 3.38-3.52
Sc: 0.2500 0.0965 0.6154  4 Sc 3.36-3.44, 3 Sm 3.37-3.48, 5 Er 3.38-3.52